(1)
# WBr5

A relaxed structure of WBr5 (GGA-PBEsol, Alexandria via LeMat-Bulk).

Structure (POSCAR):
```
WBr5
1.0
6.4494 0.0000 0.0000
-3.1147 6.2125 0.0000
-0.0373 -3.3922 8.7924
W Br
2 10
Direct
0.1035 0.2156 0.2183
0.8965 0.7844 0.7817
0.0764 0.8181 0.5620
0.1228 0.6164 0.8498
0.2440 0.1887 0.9541
0.3097 0.0060 0.2465
0.4453 0.5841 0.3401
0.5547 0.4159 0.6599
0.6903 0.9940 0.7535
0.7560 0.8113 0.0459
0.8772 0.3836 0.1502
0.9236 0.1819 0.4380
```

Values from the calculation:
The total magnetization comes out at 2.032 μB per cell. The symmetry is No. 2. The total energy comes out at -4.28 eV per atom. The uncorrected formation energy comes out at -0.416 eV/atom. For the energy above the lowest structure with this stoichiometry, the calculation gives 0 meV per atom.

---

(2)
# W2Br

A relaxed structure of W2Br (GGA-PBEsol, Alexandria via LeMat-Bulk).

Structure (POSCAR):
```
W2Br
1.0
4.6193 0.0000 0.0000
-2.3096 4.0004 0.0000
0.0000 0.0000 5.3395
W Br
4 2
Direct
0.0000 0.0000 0.0000
0.0000 0.0000 0.5000
0.3333 0.6667 0.2500
0.6667 0.3333 0.7500
0.3333 0.6667 0.7500
0.6667 0.3333 0.2500
```

Values from the calculation:
The total magnetization comes out at 0.000 μB per cell. The symmetry is No. 194. The total energy comes out at -8.20 eV per atom. The uncorrected formation energy comes out at 1.625 eV/atom. For the energy above the lowest structure with this stoichiometry, the calculation gives 829 meV per atom.